This record from Alexandria via LeMat-Bulk describes an optimized crystal structure of YTmZnAg. The functional is GGA-PBE.

Summary:
Energy above the lowest structure with this stoichiometry in eV per atom: 0.015
DFT formation energy in eV per atom: -0.334

```
data_YTmZnAg
_cell_length_a 7.173
_cell_length_b 7.173
_cell_length_c 7.173
_cell_angle_alpha 90.00
_cell_angle_beta 90.00
_cell_angle_gamma 90.00
_space_group_name_H-M_alt 'F -4 3 m'
_space_group_IT_number 216
_space_group_name_Hall 'F -4 2 3'
loop_
_atom_site_label
_atom_site_type_symbol
_atom_site_fract_x
_atom_site_fract_y
_atom_site_fract_z
_atom_site_occupancy
Y1 Y 0.000 0.000 0.000 1
Tm1 Tm 0.000 0.000 0.500 1
Zn1 Zn 0.250 0.250 0.750 1
Ag1 Ag 0.250 0.250 0.250 1
```

***

This record from Alexandria via LeMat-Bulk describes an optimized crystal structure of SnGeAsHIr. The functional is GGA-PBE.

Summary:
Energy above the lowest structure with this stoichiometry in eV per atom: 0.048

```
data_SnGeAsHIr
_cell_length_a 4.731
_cell_length_b 4.289
_cell_length_c 5.015
_cell_angle_alpha 90.00
_cell_angle_beta 112.75
_cell_angle_gamma 90.00
_space_group_name_H-M_alt 'P 1 m 1'
_space_group_IT_number 6
loop_
_space_group_symop_operation_xyz
'x,y,z'
'x,-y,z'
loop_
_atom_site_label
_atom_site_type_symbol
_atom_site_fract_x
_atom_site_fract_y
_atom_site_fract_z
_atom_site_occupancy
Sn1 Sn 0.000 0.000 0.000 1
Ge1 Ge 0.225 0.500 0.541 1
As1 As 0.628 0.000 0.316 1
H1 H 0.671 0.500 0.921 1
Ir1 Ir 0.764 0.500 0.639 1
```

***

Respective final energy values: -4.099 -5.131 eV per atom.